[1]
The following is a PBE calculation of Zr12FeSn6 after structural relaxation, from Alexandria via LeMat-Bulk.

Geometry as CIF:
```
data_Zr12FeSn6
_chemical_formula_sum 'Zr36 Fe3 Sn18'
_cell_length_a 12.1201
_cell_length_b 12.1201
_cell_length_c 11.0745
_cell_angle_alpha 90.00
_cell_angle_beta 90.00
_cell_angle_gamma 120.00
_space_group_name_H-M_alt 'R -3'
_space_group_IT_number 148
_space_group_name_Hall '-R 3'
loop_
_atom_site_label
_atom_site_fract_x
_atom_site_fract_y
_atom_site_fract_z
_atom_site_occupancy
Zr1 0.0273 0.1727 0.3810 1
Zr2 0.0718 0.1847 0.8692 1
Fe1 0.0000 0.0000 0.0000 1
Sn1 0.0350 0.4113 0.2987 1
```

## Properties
As for the formation energy from the elements: -0.10 eV per atom.



[2]
The following is a PBE calculation of CsSrCeF6 after structural relaxation, from Alexandria via LeMat-Bulk.

Geometry as CIF:
```
data_CsSrCeF6
_chemical_formula_sum 'Cs4 Sr4 Ce4 F24'
_cell_length_a 8.5949
_cell_length_b 8.8771
_cell_length_c 12.6186
_cell_angle_alpha 90.00
_cell_angle_beta 90.00
_cell_angle_gamma 90.00
_space_group_name_H-M_alt 'I m m a'
_space_group_IT_number 74
_space_group_name_Hall '-I 2b 2'
loop_
_atom_site_label
_atom_site_fract_x
_atom_site_fract_y
_atom_site_fract_z
_atom_site_occupancy
Cs1 0.0000 0.2500 0.0550 1
Sr1 0.2500 0.2500 0.7500 1
Ce1 0.0000 0.0000 0.5000 1
F1 0.0000 0.2500 0.4409 1
F2 0.0000 0.2500 0.8309 1
F3 0.1959 0.0591 0.6156 1
```

## Properties
The raw formation energy comes out at -32.8 eV per formula unit.



| no. | raw total energy (eV per atom) |
| --- | --- |
| 1 | -7.20 |
| 2 | -5.83 |